Material: KLaDyMnO6
Method: DFT, GGA+U
State: relaxed

Results
The calculation puts the calculated volume at 548.5 Å³/cell. The energy is -7.06 eV per atom. The calculation puts the total magnetization at 4.04 μB per formula unit. The crystal system is cubic.

a b c (Å): 8.186 8.186 8.186
angles (deg): 90.00 90.00 90.00
Space group F-43m (No. 216)
Asymmetric unit:
K: 0.000 0.000 0.000
La: 0.000 0.000 0.500
Dy: 0.250 0.250 0.750
Mn: 0.250 0.250 0.250
O: 0.018 0.250 0.250